1.
Below is a relaxed structure of NaLiAuS2, with properties calculated at the PBE level.

Properties
The crystal system is monoclinic. The value obtained for the raw total energy is -3.59 eV per atom. The formation energy without anion corrections is -640.8 meV/atom. The space-group type is P2/c (13).

a = 5.1847 Å, b = 6.1688 Å, c = 6.6963 Å
α = 105.77°, β = 90.00°, γ = 90.00°
Last column: nearest neighbours and their distance in Å.
Element x y z (fractional)
Li 0.4799 0.0000 0.2500  4 S 2.51-2.58
Au 0.0000 0.0000 0.0000  2 S 2.29
Li 0.5201 0.0000 0.7500  4 S 2.51-2.58
Au 0.0000 0.0000 0.5000  2 S 2.29
Na 0.1993 0.5000 0.7500  6 S 2.89-3.07
Na 0.8007 0.5000 0.2500  6 S 2.89-3.07
S 0.6914 0.2769 0.5680  1 Au 2.29, 1 Li 2.51
S 0.3086 0.7231 0.4320  1 Au 2.29, 1 Li 2.51
S 0.3086 0.2769 0.0680  1 Au 2.29, 1 Li 2.51
S 0.6914 0.7231 0.9320  1 Au 2.29, 1 Li 2.51

---

2.
Below is a relaxed structure of TbCdInPt, with properties calculated at the PBE level.

Properties
The crystal system is cubic. The value obtained for the raw total energy is -4.19 eV per atom. The space-group type is F-43m (216).

a = 4.9359 Å, b = 4.9359 Å, c = 4.9359 Å
α = 60.00°, β = 60.00°, γ = 60.00°
Last column: nearest neighbours and their distance in Å.
Element x y z (fractional)
Pt 0.7500 0.7500 0.7500  4 In 3.02, 4 Tb 3.02
Cd 0.2500 0.2500 0.2500  4 Tb 3.02, 4 In 3.02
Tb 0.0000 0.0000 0.0000  4 Pt 3.02, 4 Cd 3.02
In 0.5000 0.5000 0.5000  4 Cd 3.02, 4 Pt 3.02

---

3.
Below is a relaxed structure of Sr2BiI2, with properties calculated at the PBE level.

Properties
The crystal system is monoclinic. The value obtained for the raw total energy is -3.32 eV per atom. The formation energy without anion corrections is -1254.7 meV/atom. The space-group type is C2/m (12).

a = 4.6265 Å, b = 4.6181 Å, c = 13.3058 Å
α = 81.02°, β = 79.99°, γ = 59.94°
Last column: nearest neighbours and their distance in Å.
Element x y z (fractional)
Sr 0.7301 0.2139 0.3260  3 I 3.27, 3 Bi 3.50-3.51
Bi 0.0000 0.5000 0.5000  6 Sr 3.50-3.51
I 0.4498 0.9197 0.1808  3 Sr 3.27
Sr 0.2699 0.7861 0.6740  3 I 3.27, 3 Bi 3.50-3.51
I 0.5502 0.0803 0.8192  3 Sr 3.27

---

4.
Below is a relaxed structure of HoPaFe, with properties calculated at the PBE level.

Properties
The crystal system is tetragonal. The value obtained for the raw total energy is -7.56 eV per atom. The space-group type is I4mm (107).

a = 3.3776 Å, b = 3.3776 Å, c = 6.0129 Å
α = 106.31°, β = 106.31°, γ = 90.00°
Last column: nearest neighbours and their distance in Å.
Element x y z (fractional)
Fe 0.6987 0.6987 0.3974  4 Pa 2.62
Ho 0.0043 0.0043 0.0087  5 Fe 3.21-3.37, 5 Pa 3.23-3.31, 4 Ho 3.38
Pa 0.2969 0.2969 0.5939  4 Fe 2.62

---

5.
Below is a relaxed structure of FeCo2Sb8, with properties calculated at the PBE level.

Properties
The crystal system is triclinic. The value obtained for the raw total energy is -4.88 eV per atom. The formation energy without anion corrections is 176.3 meV/atom. The space-group type is P-1 (2).

a = 4.8498 Å, b = 8.0396 Å, c = 8.0294 Å
α = 120.07°, β = 90.06°, γ = 89.98°
Last column: nearest neighbours and their distance in Å.
Element x y z (fractional)
Sb 0.7144 0.3083 0.1550  1 Co 2.50, 1 Fe 2.55
Co 0.2522 0.3334 0.6671  5 Sb 2.37-2.50
Sb 0.2854 0.1545 0.8464  1 Co 2.50, 1 Fe 2.55
Sb 0.2368 0.6661 0.3312  2 Co 2.37-2.48
Sb 0.7146 0.8455 0.1536  1 Co 2.50, 1 Fe 2.55
Sb 0.2861 0.1539 0.3088  1 Co 2.50, 1 Fe 2.55
Sb 0.7632 0.3339 0.6688  2 Co 2.37-2.48
Sb 0.7139 0.8461 0.6912  1 Co 2.50, 1 Fe 2.55
Co 0.7478 0.6666 0.3329  5 Sb 2.37-2.50
Sb 0.2856 0.6917 0.8450  1 Co 2.50, 1 Fe 2.55
Fe 0.0000 0.0000 0.0000  6 Sb 2.55

---

6.
Below is a relaxed structure of K3SbAu, with properties calculated at the PBE level.

Properties
The crystal system is cubic. The value obtained for the raw total energy is -2.25 eV per atom. The formation energy without anion corrections is -111.0 meV/atom. The space-group type is Pm-3m (221).

a = 6.1345 Å, b = 6.1345 Å, c = 6.1345 Å
α = 90.00°, β = 90.00°, γ = 90.00°
Last column: nearest neighbours and their distance in Å.
Element x y z (fractional)
K 0.0000 0.0000 0.5000  2 Au 3.07
Au 0.0000 0.0000 0.0000  6 K 3.07
K 0.5000 0.0000 0.0000  2 Au 3.07
K 0.0000 0.5000 0.0000  2 Au 3.07
Sb 0.5000 0.5000 0.5000  12 K 4.34

---

Repeat the first record exactly.
Below is a relaxed structure of NaLiAuS2, with properties calculated at the PBE level.

Properties
The crystal system is monoclinic. The value obtained for the raw total energy is -3.59 eV per atom. The formation energy without anion corrections is -640.8 meV/atom. The space-group type is P2/c (13).

a = 5.1847 Å, b = 6.1688 Å, c = 6.6963 Å
α = 105.77°, β = 90.00°, γ = 90.00°
Last column: nearest neighbours and their distance in Å.
Element x y z (fractional)
Li 0.4799 0.0000 0.2500  4 S 2.51-2.58
Au 0.0000 0.0000 0.0000  2 S 2.29
Li 0.5201 0.0000 0.7500  4 S 2.51-2.58
Au 0.0000 0.0000 0.5000  2 S 2.29
Na 0.1993 0.5000 0.7500  6 S 2.89-3.07
Na 0.8007 0.5000 0.2500  6 S 2.89-3.07
S 0.6914 0.2769 0.5680  1 Au 2.29, 1 Li 2.51
S 0.3086 0.7231 0.4320  1 Au 2.29, 1 Li 2.51
S 0.3086 0.2769 0.0680  1 Au 2.29, 1 Li 2.51
S 0.6914 0.7231 0.9320  1 Au 2.29, 1 Li 2.51